1.
A relaxed Tb3NdDy2 crystal. Source: Alexandria, functional PBE.

Geometry as POSCAR:
```
Tb3NdDy2
1.0
-5.412 4.662 -0.155
-1.088 -1.459 -5.910
-2.804 -8.643 2.634
Nd Tb Dy
2 6 4
Cartesian
-5.548 2.982 -4.568 Nd
-0.952 0.221 -1.497 Nd
-8.040 -2.611 -3.808 Tb
-3.649 2.545 -1.574 Tb
-2.851 0.659 -4.490 Tb
-1.264 -2.829 0.378 Tb
-3.166 -2.388 -2.616 Tb
-6.138 -3.051 -0.815 Tb
-3.967 -0.483 0.307 Dy
-5.337 -4.956 -3.737 Dy
-5.859 -0.051 -2.687 Dy
-3.445 -5.388 -0.744 Dy
```

* E_form: 2 kJ per mole of atoms
* energy above the most stable polymorph in this dataset: 0.12 eV/f.u.
* E: -4.628 eV/atom
* magnetization: 0.00 μB per atom


2.
A relaxed H2Pd2Pb crystal. Source: Alexandria, functional PBE.

Geometry as POSCAR:
```
H2Pd2Pb
1.0
-1.360 -0.232 3.635
-3.488 -1.034 -1.371
-1.143 -5.204 1.320
Pd H Pb
2 2 1
Cartesian
-3.528 -3.436 0.540 Pd
-2.464 -3.035 3.044 Pd
-1.865 -2.629 1.214 H
-4.127 -3.842 2.370 H
0.000 0.000 0.000 Pb
```

* energy above the most stable polymorph in this dataset: 0.22 eV/f.u.
* E: -4.241 eV/atom
* magnetization: 0.00 μB per atom


3.
A relaxed BeAlPt2 crystal. Source: Alexandria, functional PBE.

Geometry as POSCAR:
```
BeAlPt2
1.0
-1.382 2.241 0.985
-2.297 -1.578 0.368
1.998 -1.473 6.155
Pt Be Al
2 1 1
Cartesian
1.048 -0.773 3.228 Pt
1.949 -1.437 6.004 Pt
-0.341 -0.773 5.293 Be
-1.340 -0.037 2.215 Al
```

* E_form: -82 kJ per mole of atoms
* E: -5.737 eV/atom
* magnetization: 0.00 μB per atom


4.
A relaxed YHoTh2Sc crystal. Source: Alexandria, functional PBE.

Geometry as POSCAR:
```
YHoTh2Sc
1.0
3.450 0.000 0.000
0.000 8.376 -0.287
0.000 -3.532 10.995
Ho Th Sc Y
2 4 2 2
Cartesian
2.588 -2.295 8.465 Ho
0.863 7.138 2.243 Ho
0.863 2.216 3.771 Th
2.588 4.186 1.347 Th
2.588 2.627 6.937 Th
0.863 0.657 9.361 Th
0.863 1.427 0.419 Sc
2.588 3.417 10.289 Sc
2.588 5.124 4.665 Y
0.863 -0.281 6.042 Y
```

* E_form: 15 kJ per mole of atoms
* E: -6.290 eV/atom
* magnetization: 0.00 μB per atom